1.
Density functional theory data (PBE-GGA) for a relaxed NiIr2Au crystal.

Cell and atoms, written as POSCAR:
```
NiIr2Au
1.0
3.784 0.000 0.000
0.000 2.774 0.029
0.000 2.716 5.623
Ni Au Ir
1 1 2
Direct
0.000 0.512 0.488
0.500 0.765 0.736
0.500 0.255 0.245
0.000 0.968 0.032
```

Summary:
The value obtained for the density of states at the Fermi level is 4.3 states/eV/f.u. The value obtained for the calculated density is 18.100 g/cm3. The volume comes out at 14.7 Å³ per atom. The value obtained for the excess energy over the best structure of this formula in the dataset is 5.45 kJ per mole of atoms. The calculated total energy comes out at -6.51 eV/atom. The calculation puts the formation energy at 0.18 eV per atom.

=====

2.
Density functional theory data (PBE-GGA) for a relaxed NiIrAu2 crystal.

Cell and atoms, written as POSCAR:
```
NiIrAu2
1.0
-2.472 1.100 0.729
-0.959 -2.561 0.611
2.550 0.815 7.415
Ir Au Ni
1 2 1
Direct
0.000 0.000 0.532
0.500 0.500 0.262
0.000 0.000 0.973
0.500 0.500 0.733
```

Summary:
The value obtained for the density of states at the Fermi level is 3.9 states/eV/f.u. The value obtained for the calculated density is 17.301 g/cm3. The volume comes out at 15.5 Å³ per atom. The value obtained for the excess energy over the best structure of this formula in the dataset is 0.00 kJ per mole of atoms. The calculated total energy comes out at -5.14 eV/atom. The calculation puts the formation energy at 0.16 eV per atom.

=====

- Look up the calculated total energy of the first one.
  -6.51 eV/atom